! La3RuO7 | Alexandria via LeMat-Bulk | PBEsol | optimized geometry; values from VASP
&SYSTEM
  ibrav = 0, nat = 22, ntyp = 3
/
ATOMIC_SPECIES
La 138.91 La.upf
Ru 101.07 Ru.upf
O 16.00 O.upf
CELL_PARAMETERS angstrom
6.667 -0.048 0.000
-2.562 6.155 0.000
0.000 0.000 7.569
ATOMIC_POSITIONS crystal
La 0.901 0.462 0.250
La 0.099 0.538 0.750
La 0.462 0.901 0.250
La 0.538 0.099 0.750
La 0.000 0.000 0.500
La 0.000 0.000 0.000
Ru 0.500 0.500 0.500
Ru 0.500 0.500 0.000
O 0.581 0.581 0.250
O 0.419 0.419 0.750
O 0.096 0.837 0.250
O 0.904 0.163 0.750
O 0.837 0.096 0.250
O 0.163 0.904 0.750
O 0.193 0.442 0.043
O 0.807 0.558 0.543
O 0.442 0.193 0.043
O 0.558 0.807 0.543
O 0.193 0.442 0.457
O 0.807 0.558 0.957
O 0.558 0.807 0.957
O 0.442 0.193 0.457
! DOS(E_F), states/eV/cell: 0.9
! Energy relative to the lowest polymorph listed for this composition, eV/atom: 0.0000